Entry w
Crystalline YAl2Re at its relaxed geometry, computed with PBE.

Cell: 3.3602 3.3602 6.7719 Å, 90.00 90.00 90.00°
Last column: nearest neighbours and their distance in Å.
Fractional positions:
Y  0.5000  0.5000  0.7198  5 Al 3.00-3.31, 4 Re 3.02, 4 Y 3.36
Re  0.0000  0.0000  0.4437  5 Al 2.60-2.63
Al  0.0000  0.0000  0.0597  1 Re 2.60, 4 Al 2.79
Al  0.5000  0.5000  0.2768  4 Re 2.63, 4 Al 2.79

Properties
**Symmetry**: No. 99
**V**: 76.5 Å³ per cell
**Crystal system**: tetragonal
**DOS(E_F)**: 0.48 states/eV per atom
**Density**: 7.15 Mg/m³

Entry x
Crystalline YAl2Re at its relaxed geometry, computed with PBE.

Cell: 5.2003 5.2003 5.1240 Å, 76.60 76.60 33.02°
Last column: nearest neighbours and their distance in Å.
Fractional positions:
Y  0.2412  0.2412  0.2617  2 Y 2.96, 7 Al 2.96-3.17, 3 Re 3.02
Re  0.4801  0.4801  0.5273  4 Al 2.65-2.76, 2 Re 2.96
Al  0.0163  0.0163  0.9595  2 Re 2.76, 5 Al 2.84-2.98, 1 Y 3.02
Al  0.7624  0.7624  0.7516  2 Re 2.65, 4 Al 2.84-2.96, 4 Y 2.96-2.97

Properties
**Symmetry**: No. 8
**V**: 73.3 Å³ per cell
**Crystal system**: monoclinic
**DOS(E_F)**: 0.83 states/eV per atom
**Density**: 7.46 Mg/m³

Entry y
Crystalline YAl2Re at its relaxed geometry, computed with PBE.

Cell: 2.9064 2.9064 9.0569 Å, 90.00 90.00 106.98°
Last column: nearest neighbours and their distance in Å.
Fractional positions:
Y  0.5000  0.5000  0.7500  4 Y 2.91, 4 Al 3.10
Re  0.5000  0.5000  0.2500  4 Al 2.61, 4 Re 2.91
Al  0.0000  0.0000  0.0335  2 Re 2.61, 4 Al 2.91
Al  0.0000  0.0000  0.4665  2 Re 2.61, 4 Al 2.91

Properties
**Symmetry**: No. 65
**V**: 73.2 Å³ per cell
**Crystal system**: orthorhombic
**DOS(E_F)**: 0.77 states/eV per atom
**Density**: 7.47 Mg/m³

Here are the energies relative to the best structure, in eV/atom: entry w 0.000; entry x 0.214; entry y 0.197.

Entry w
Crystalline YAl10Re2 at its relaxed geometry, computed with PBE.

Cell: 6.9595 6.9595 26.9908 Å, 90.00 90.00 96.00°
Last column: nearest neighbours and their distance in Å.
Fractional positions:
Y  0.8749  0.1251  0.5847  12 Al 3.07-3.37, 2 Re 3.41
Y  0.1251  0.8749  0.4153  12 Al 3.07-3.37, 2 Re 3.41
Y  0.1251  0.8749  0.0847  12 Al 3.07-3.37, 2 Re 3.41
Y  0.8749  0.1251  0.9153  12 Al 3.07-3.37, 2 Re 3.41
Y  0.6187  0.3813  0.7500  14 Al 3.09-3.29
Y  0.3813  0.6187  0.2500  14 Al 3.09-3.29
Al  0.5952  0.4048  0.6331  5 Al 2.63-2.78, 2 Re 2.65
Al  0.4048  0.5952  0.3669  5 Al 2.63-2.78, 2 Re 2.65
Al  0.4048  0.5952  0.1331  5 Al 2.63-2.78, 2 Re 2.65
Al  0.5952  0.4048  0.8669  5 Al 2.63-2.78, 2 Re 2.65
Al  0.1769  0.3995  0.7500  2 Re 2.62, 6 Al 2.66-2.91
Al  0.8231  0.6005  0.2500  2 Re 2.62, 6 Al 2.66-2.91
Al  0.6005  0.8231  0.7500  2 Re 2.62, 6 Al 2.66-2.91
Al  0.3995  0.1769  0.2500  2 Re 2.62, 6 Al 2.66-2.91
Al  0.8744  0.1256  0.1456  6 Al 2.68-2.97, 2 Re 2.74
Al  0.1256  0.8744  0.8544  6 Al 2.68-2.97, 2 Re 2.74
Al  0.1256  0.8744  0.6456  6 Al 2.68-2.97, 2 Re 2.74
Al  0.8744  0.1256  0.3544  6 Al 2.68-2.97, 2 Re 2.74
Al  0.3698  0.6302  0.6783  6 Al 2.63-2.90, 2 Re 2.69
Al  0.6302  0.3698  0.3217  6 Al 2.63-2.90, 2 Re 2.69
Al  0.6302  0.3698  0.1783  6 Al 2.63-2.90, 2 Re 2.69
Al  0.3698  0.6302  0.8217  6 Al 2.63-2.90, 2 Re 2.69
Al  0.2279  0.4718  0.5809  2 Re 2.70-2.72, 7 Al 2.75-3.00
Al  0.7721  0.5282  0.4191  2 Re 2.70-2.72, 7 Al 2.75-3.00
Al  0.7721  0.5282  0.0809  2 Re 2.70-2.72, 7 Al 2.75-3.00
Al  0.5282  0.7721  0.9191  2 Re 2.70-2.72, 7 Al 2.75-3.00
Al  0.2279  0.4718  0.9191  2 Re 2.70-2.72, 7 Al 2.75-3.00
Al  0.4718  0.2279  0.0809  2 Re 2.70-2.72, 7 Al 2.75-3.00
Al  0.4718  0.2279  0.4191  2 Re 2.70-2.72, 7 Al 2.75-3.00
Al  0.5282  0.7721  0.5809  2 Re 2.70-2.72, 7 Al 2.75-3.00
Al  0.9640  0.7378  0.7500  7 Al 2.66-2.91, 2 Re 2.80
Al  0.0360  0.2622  0.2500  7 Al 2.66-2.91, 2 Re 2.80
Al  0.2622  0.0360  0.7500  7 Al 2.66-2.91, 2 Re 2.80
Al  0.7378  0.9640  0.2500  7 Al 2.66-2.91, 2 Re 2.80
Al  0.6216  0.3784  0.5219  4 Al 2.67-2.84, 2 Re 2.74
Al  0.3784  0.6216  0.4781  4 Al 2.67-2.84, 2 Re 2.74
Al  0.3784  0.6216  0.0219  4 Al 2.67-2.84, 2 Re 2.74
Al  0.6216  0.3784  0.9781  4 Al 2.67-2.84, 2 Re 2.74
Al  0.9678  0.4726  0.6709  2 Re 2.61, 6 Al 2.66-2.90
Al  0.0322  0.5274  0.3291  2 Re 2.61, 6 Al 2.66-2.90
Al  0.0322  0.5274  0.1709  2 Re 2.61, 6 Al 2.66-2.90
Al  0.5274  0.0322  0.8291  2 Re 2.61, 6 Al 2.66-2.90
Al  0.9678  0.4726  0.8291  2 Re 2.61, 6 Al 2.66-2.90
Al  0.4726  0.9678  0.1709  2 Re 2.61, 6 Al 2.66-2.90
Al  0.4726  0.9678  0.3291  2 Re 2.61, 6 Al 2.66-2.90
Al  0.5274  0.0322  0.6709  2 Re 2.61, 6 Al 2.66-2.90
Al  0.9086  0.0914  0.6999  6 Al 2.68-2.87, 2 Re 2.71
Al  0.0914  0.9086  0.3001  6 Al 2.68-2.87, 2 Re 2.71
Al  0.0914  0.9086  0.1999  6 Al 2.68-2.87, 2 Re 2.71
Al  0.9086  0.0914  0.8001  6 Al 2.68-2.87, 2 Re 2.71
Al  0.8768  0.6202  0.5831  2 Re 2.55-2.57, 7 Al 2.64-2.84
Al  0.1232  0.3798  0.4169  2 Re 2.55-2.57, 7 Al 2.64-2.84
Al  0.1232  0.3798  0.0831  2 Re 2.55-2.57, 7 Al 2.64-2.84
Al  0.3798  0.1232  0.9169  2 Re 2.55-2.57, 7 Al 2.64-2.84
Al  0.8768  0.6202  0.9169  2 Re 2.55-2.57, 7 Al 2.64-2.84
Al  0.6202  0.8768  0.0831  2 Re 2.55-2.57, 7 Al 2.64-2.84
Al  0.6202  0.8768  0.4169  2 Re 2.55-2.57, 7 Al 2.64-2.84
Al  0.3798  0.1232  0.5831  2 Re 2.55-2.57, 7 Al 2.64-2.84
Al  0.2063  0.2063  0.5000  2 Re 2.62, 6 Al 2.64-2.85
Al  0.7937  0.7937  0.5000  2 Re 2.62, 6 Al 2.64-2.85
Al  0.7937  0.7937  0.0000  2 Re 2.62, 6 Al 2.64-2.85
Al  0.2063  0.2063  0.0000  2 Re 2.62, 6 Al 2.64-2.85
Al  0.8345  0.1655  0.0341  2 Re 2.65, 7 Al 2.67-2.90
Al  0.1655  0.8345  0.9659  2 Re 2.65, 7 Al 2.67-2.90
Al  0.1655  0.8345  0.5341  2 Re 2.65, 7 Al 2.67-2.90
Al  0.8345  0.1655  0.4659  2 Re 2.65, 7 Al 2.67-2.90
Re  0.2495  0.2550  0.6632  10 Al 2.55-2.80
Re  0.7505  0.7450  0.3368  10 Al 2.55-2.80
Re  0.7505  0.7450  0.1632  10 Al 2.55-2.80
Re  0.7450  0.7505  0.8368  10 Al 2.55-2.80
Re  0.2495  0.2550  0.8368  10 Al 2.55-2.80
Re  0.2550  0.2495  0.1632  10 Al 2.55-2.80
Re  0.2550  0.2495  0.3368  10 Al 2.55-2.80
Re  0.7450  0.7505  0.6632  10 Al 2.55-2.80
Re  0.0000  0.5000  0.5000  10 Al 2.57-2.74
Re  0.0000  0.5000  0.0000  10 Al 2.57-2.74
Re  0.5000  0.0000  0.0000  10 Al 2.57-2.74
Re  0.5000  0.0000  0.5000  10 Al 2.57-2.74

Properties
**Symmetry**: No. 63
**V**: 1300.1 Å³ per cell
**Crystal system**: orthorhombic
**DOS(E_F)**: 0.33 states/eV per atom
**Density**: 5.60 Mg/m³

Entry x
Crystalline YAl10Re2 at its relaxed geometry, computed with PBE.

Cell: 6.9203 6.9203 9.1987 Å, 90.00 90.00 96.83°
Last column: nearest neighbours and their distance in Å.
Fractional positions:
Y  0.8702  0.1298  0.7500  14 Al 3.13-3.38, 4 Re 3.48
Y  0.1298  0.8702  0.2500  14 Al 3.13-3.38, 4 Re 3.48
Al  0.4079  0.1409  0.7500  2 Re 2.61, 8 Al 2.67-2.90
Al  0.5921  0.8591  0.2500  2 Re 2.61, 8 Al 2.67-2.90
Al  0.8591  0.5921  0.7500  2 Re 2.61, 8 Al 2.67-2.90
Al  0.1409  0.4079  0.2500  2 Re 2.61, 8 Al 2.67-2.90
Al  0.5292  0.7887  0.7500  5 Al 2.67-2.92, 2 Re 2.75
Al  0.4708  0.2113  0.2500  5 Al 2.67-2.92, 2 Re 2.75
Al  0.2113  0.4708  0.7500  5 Al 2.67-2.92, 2 Re 2.75
Al  0.7887  0.5292  0.2500  5 Al 2.67-2.92, 2 Re 2.75
Al  0.8496  0.1504  0.4037  6 Al 2.63-2.90, 2 Re 2.67
Al  0.1504  0.8496  0.9037  6 Al 2.63-2.90, 2 Re 2.67
Al  0.8496  0.1504  0.0963  6 Al 2.63-2.90, 2 Re 2.67
Al  0.1504  0.8496  0.5963  6 Al 2.63-2.90, 2 Re 2.67
Al  0.6243  0.3757  0.9636  6 Al 2.63-2.86, 2 Re 2.66
Al  0.3757  0.6243  0.4636  6 Al 2.63-2.86, 2 Re 2.66
Al  0.6243  0.3757  0.5364  6 Al 2.63-2.86, 2 Re 2.66
Al  0.3757  0.6243  0.0364  6 Al 2.63-2.86, 2 Re 2.66
Al  0.7742  0.7742  0.0000  2 Re 2.60, 8 Al 2.72-2.87
Al  0.2258  0.2258  0.5000  2 Re 2.60, 8 Al 2.72-2.87
Al  0.2258  0.2258  0.0000  2 Re 2.60, 8 Al 2.72-2.87
Al  0.7742  0.7742  0.5000  2 Re 2.60, 8 Al 2.72-2.87
Re  0.5000  0.0000  0.0000  10 Al 2.60-2.75
Re  0.5000  0.0000  0.5000  10 Al 2.60-2.75
Re  0.0000  0.5000  0.5000  10 Al 2.60-2.75
Re  0.0000  0.5000  0.0000  10 Al 2.60-2.75

Properties
**Symmetry**: No. 63
**V**: 437.4 Å³ per cell
**Crystal system**: orthorhombic
**DOS(E_F)**: 0.40 states/eV per atom
**Density**: 5.55 Mg/m³

Here are the energies relative to the best structure, in eV/atom: entry w 0.000; entry x 0.011.

Entry w
Crystalline YAlRe3 at its relaxed geometry, computed with PBE.

Cell: 4.8108 4.8108 4.8108 Å, 90.00 90.00 90.00°
Last column: nearest neighbours and their distance in Å.
Fractional positions:
Y  0.0000  0.0000  0.0000  6 Re 2.41
Re  0.0000  0.5000  0.0000  2 Y 2.41
Re  0.0000  0.0000  0.5000  2 Y 2.41
Re  0.5000  0.0000  0.0000  2 Y 2.41
Al  0.5000  0.5000  0.5000  12 Re 3.40

Properties
**Symmetry**: No. 221
**V**: 111.3 Å³ per cell
**Crystal system**: cubic
**DOS(E_F)**: 1.15 states/eV per atom
**Density**: 10.06 Mg/m³

Entry x
Crystalline YAlRe3 at its relaxed geometry, computed with PBE.

Cell: 4.5774 4.5774 4.5774 Å, 90.00 90.00 90.00°
Last column: nearest neighbours and their distance in Å.
Fractional positions:
Y  0.5000  0.5000  0.5000  12 Re 3.24
Re  0.0000  0.5000  0.0000  2 Al 2.29
Re  0.0000  0.0000  0.5000  2 Al 2.29
Re  0.5000  0.0000  0.0000  2 Al 2.29
Al  0.0000  0.0000  0.0000  6 Re 2.29

Properties
**Symmetry**: No. 221
**V**: 95.9 Å³ per cell
**Crystal system**: cubic
**DOS(E_F)**: 1.55 states/eV per atom
**Density**: 11.68 Mg/m³

Here are the energies relative to the best structure, in eV/atom: entry w 1.828; entry x 0.000.

Entry w
Crystalline Al4ZnRe at its relaxed geometry, computed with PBE.

Cell: 4.7153 5.0560 9.0380 Å, 90.01 65.11 90.00°
Last column: nearest neighbours and their distance in Å.
Fractional positions:
Al  0.3377  0.7500  0.0970  1 Re 2.53, 2 Zn 2.65-2.68
Al  0.6623  0.2500  0.9030  1 Re 2.53, 2 Zn 2.65-2.68
Al  0.7107  0.7501  0.7013  3 Re 2.66-2.76, 4 Al 2.73, 1 Zn 2.92
Al  0.2893  0.2499  0.2987  3 Re 2.66-2.76, 4 Al 2.73, 1 Zn 2.92
Al  0.2556  0.0066  0.6453  5 Al 2.46-2.73, 3 Re 2.66-2.69
Al  0.7444  0.5065  0.3548  5 Al 2.46-2.73, 3 Re 2.66-2.69
Al  0.2556  0.4935  0.6452  5 Al 2.46-2.73, 3 Re 2.66-2.69
Al  0.7444  0.9934  0.3547  5 Al 2.46-2.73, 3 Re 2.66-2.69
Zn  0.9630  0.7500  0.9463  5 Al 2.65-2.92, 2 Zn 2.78
Zn  0.0370  0.2500  0.0537  5 Al 2.65-2.92, 2 Zn 2.78
Re  0.2116  0.7500  0.3986  10 Al 2.53-2.76
Re  0.7884  0.2500  0.6014  10 Al 2.53-2.76

Properties
**Symmetry**: No. 11
**V**: 195.5 Å³ per cell
**Crystal system**: monoclinic
**DOS(E_F)**: 0.43 states/eV per atom
**Density**: 6.11 Mg/m³

Entry x
Crystalline Al4ZnRe at its relaxed geometry, computed with PBE.

Cell: 5.0382 5.0382 5.0382 Å, 60.00 60.00 60.00°
Last column: nearest neighbours and their distance in Å.
Fractional positions:
Al  0.8732  0.3756  0.3756  6 Al 2.51-2.53
Al  0.3756  0.3756  0.8732  6 Al 2.51-2.53
Al  0.3756  0.8732  0.3756  6 Al 2.51-2.53
Al  0.3756  0.3756  0.3756  6 Al 2.51-2.53
Zn  0.0000  0.0000  0.0000  12 Al 2.96, 4 Re 3.09
Re  0.7500  0.7500  0.7500  12 Al 2.95, 4 Zn 3.09

Properties
**Symmetry**: No. 216
**V**: 90.4 Å³ per cell
**Crystal system**: cubic
**DOS(E_F)**: 0.38 states/eV per atom
**Density**: 6.60 Mg/m³

Here are the energies relative to the best structure, in eV/atom: entry w 0.000; entry x 0.242.

Entry w
Crystalline Al6Zn2Re at its relaxed geometry, computed with PBE.

Cell: 4.8270 7.2324 4.7503 Å, 98.46 120.54 90.00°
Last column: nearest neighbours and their distance in Å.
Fractional positions:
Al  0.3916  0.8305  0.7833  6 Al 2.64-2.81, 1 Re 2.69, 3 Zn 2.75-2.77
Al  0.6084  0.1695  0.2167  6 Al 2.64-2.81, 1 Re 2.69, 3 Zn 2.75-2.77
Al  0.7140  0.8253  0.4280  5 Al 2.64-2.81, 1 Re 2.68, 4 Zn 2.75-2.86
Al  0.1668  0.5025  0.3336  2 Zn 2.70-2.75, 5 Al 2.71-2.77, 3 Re 2.73-2.77
Al  0.2860  0.1747  0.5720  5 Al 2.64-2.81, 1 Re 2.68, 4 Zn 2.75-2.86
Al  0.8332  0.4975  0.6664  2 Zn 2.70-2.75, 5 Al 2.71-2.77, 3 Re 2.73-2.77
Zn  0.9471  0.1684  0.8943  9 Al 2.70-2.86, 1 Zn 2.72
Zn  0.0529  0.8316  0.1057  9 Al 2.70-2.86, 1 Zn 2.72
Re  0.5000  0.5000  0.0000  10 Al 2.68-2.77

Properties
**Symmetry**: No. 12
**V**: 140.7 Å³ per cell
**Crystal system**: monoclinic
**DOS(E_F)**: 0.33 states/eV per atom
**Density**: 5.65 Mg/m³

Entry x
Crystalline Al6Zn2Re at its relaxed geometry, computed with PBE.

Cell: 5.3641 5.3641 13.3997 Å, 90.00 90.00 90.00°
Last column: nearest neighbours and their distance in Å.
Fractional positions:
Al  0.6803  0.6803  0.1500  1 Re 2.43, 2 Zn 2.46-2.66
Al  0.6803  0.6803  0.8500  1 Re 2.43, 2 Zn 2.46-2.66
Al  0.6760  0.6760  0.5000  1 Re 2.46, 1 Al 2.67, 2 Zn 2.75
Al  0.8240  0.1760  0.0000  1 Re 2.46, 1 Al 2.67, 2 Zn 2.75
Al  0.8197  0.1803  0.3500  1 Re 2.43, 2 Zn 2.46-2.66
Al  0.8197  0.1803  0.6500  1 Re 2.43, 2 Zn 2.46-2.66
Al  0.1803  0.8197  0.3500  1 Re 2.43, 2 Zn 2.46-2.66
Al  0.1803  0.8197  0.6500  1 Re 2.43, 2 Zn 2.46-2.66
Al  0.1760  0.8240  0.0000  1 Re 2.46, 1 Al 2.67, 2 Zn 2.75
Al  0.3240  0.3240  0.5000  1 Re 2.46, 1 Al 2.67, 2 Zn 2.75
Al  0.3197  0.3197  0.1500  1 Re 2.43, 2 Zn 2.46-2.66
Al  0.3197  0.3197  0.8500  1 Re 2.43, 2 Zn 2.46-2.66
Zn  0.5000  0.5000  0.3205  6 Al 2.46-2.75
Zn  0.5000  0.5000  0.6795  6 Al 2.46-2.75
Zn  0.0000  0.0000  0.1795  6 Al 2.46-2.75
Zn  0.0000  0.0000  0.8205  6 Al 2.46-2.75
Re  0.5000  0.5000  0.0000  6 Al 2.43-2.46
Re  0.0000  0.0000  0.5000  6 Al 2.43-2.46

Properties
**Symmetry**: No. 136
**V**: 385.6 Å³ per cell
**Crystal system**: tetragonal
**DOS(E_F)**: 0.56 states/eV per atom
**Density**: 4.13 Mg/m³

Here are the energies relative to the best structure, in eV/atom: entry w 0.000; entry x 0.460.

Entry w
Crystalline AlZnRe2 at its relaxed geometry, computed with PBE.

Cell: 4.9140 4.9140 4.9140 Å, 134.75 134.75 65.92°
Last column: nearest neighbours and their distance in Å.
Fractional positions:
Re  0.0000  0.0000  0.0000  4 Re 2.67, 4 Zn 2.80, 4 Al 2.80
Re  0.5000  0.5000  0.0000  4 Re 2.67, 4 Al 2.80, 4 Zn 2.80
Zn  0.2500  0.7500  0.5000  4 Al 2.67, 8 Re 2.80
Al  0.7500  0.2500  0.5000  4 Zn 2.67, 8 Re 2.80

Properties
**Symmetry**: No. 139
**V**: 58.9 Å³ per cell
**Crystal system**: tetragonal
**DOS(E_F)**: 1.10 states/eV per atom
**Density**: 13.10 Mg/m³

Entry x
Crystalline AlZnRe2 at its relaxed geometry, computed with PBE.

Cell: 4.3134 2.6912 5.1296 Å, 80.55 90.00 90.00°
Last column: nearest neighbours and their distance in Å.
Fractional positions:
Re  0.0000  0.9936  0.0018  2 Al 2.65, 2 Zn 2.65, 4 Re 2.67-2.72
Re  0.0000  0.5064  0.4982  2 Al 2.65, 2 Zn 2.65, 4 Re 2.67-2.72
Zn  0.5000  0.2500  0.2500  4 Re 2.65, 2 Zn 2.69, 2 Al 2.69
Al  0.5000  0.7500  0.7500  4 Re 2.65, 2 Al 2.69, 2 Zn 2.69

Properties
**Symmetry**: No. 10
**V**: 58.7 Å³ per cell
**Crystal system**: monoclinic
**DOS(E_F)**: 0.64 states/eV per atom
**Density**: 13.14 Mg/m³

Entry y
Crystalline AlZnRe2 at its relaxed geometry, computed with PBE.

Cell: 5.0360 5.0360 5.0360 Å, 143.75 129.27 63.94°
Last column: nearest neighbours and their distance in Å.
Fractional positions:
Re  0.9997  0.9997  0.0000  2 Re 2.62, 2 Al 2.64, 4 Zn 2.67
Re  0.7542  0.2542  0.5000  2 Re 2.62, 4 Al 2.67, 2 Zn 2.69
Zn  0.4983  0.4983  0.0000  2 Al 2.65, 6 Re 2.67-2.69
Al  0.2478  0.7478  0.5000  6 Re 2.64-2.67, 2 Zn 2.65

Properties
**Symmetry**: No. 44
**V**: 57.8 Å³ per cell
**Crystal system**: orthorhombic
**DOS(E_F)**: 0.68 states/eV per atom
**Density**: 13.36 Mg/m³

Here are the energies relative to the best structure, in eV/atom: entry w 0.137; entry x 0.022; entry y 0.000.